The following is a DFT calculation (GGA-PBE) of an optimized crystal structure of AgHgOs3.

## Properties
As for the symmetry: Pm-3m (221). The volume comes out at 22.556 Å³ per atom. The value obtained for the energy of formation is 2.9966 eV/atom.

Cell lengths 4.831, 4.831, 4.831 Å; angles 90.00, 90.00, 90.00 degrees
Atoms (fractional coordinates):
1 Ag 0.000 0.000 0.000
2 Hg 0.500 0.500 0.500
3 Os 0.000 0.000 0.500
4 Os 0.000 0.500 0.000
5 Os 0.500 0.000 0.000